No. 1
! PBEsol Te2PIr, optimized geometry; values from VASP
! Calculated total energy, eV per formula unit: -19.70
! Volume, Å³/atom: 21.044
! Crystal system: trigonal
! Raw formation energy, eV per atom: 0.7420
! Space-group type: No. 166
! Magnetic moment, μB per formula unit: 0.0
&SYSTEM
  ibrav = 0, nat = 12, ntyp = 3
/
ATOMIC_SPECIES
Te 127.60 Te.upf
P 30.97 P.upf
Ir 192.22 Ir.upf
CELL_PARAMETERS angstrom
2.973 0.000 0.000
-1.487 2.575 0.000
0.000 0.000 32.990
ATOMIC_POSITIONS angstrom
Te 0.000 0.000 2.563
Te 0.000 0.000 30.427
Te 0.000 1.716 19.430
Te 0.000 1.716 24.557
Te 1.487 0.858 8.434
Te 1.487 0.858 13.560
P 0.000 0.000 16.495
P 0.000 1.716 5.498
P 1.487 0.858 27.492
Ir 0.000 0.000 0.000
Ir 0.000 1.716 21.994
Ir 1.487 0.858 10.997


No. 2
! PBEsol Te4PIr, optimized geometry; values from VASP
! Calculated total energy, eV per formula unit: -21.06
! Volume, Å³/atom: 24.886
! Crystal system: cubic
! Raw formation energy, eV per atom: 1.4438
! Space-group type: No. 216
! Magnetic moment, μB per formula unit: 0.5
&SYSTEM
  ibrav = 0, nat = 6, ntyp = 3
/
ATOMIC_SPECIES
Te 127.60 Te.upf
P 30.97 P.upf
Ir 192.22 Ir.upf
CELL_PARAMETERS angstrom
0.000 4.211 4.211
4.211 0.000 4.211
4.211 4.211 0.000
ATOMIC_POSITIONS angstrom
Te 1.046 1.046 1.046
Te 3.165 3.165 1.046
Te 3.165 1.046 3.165
Te 1.046 3.165 3.165
P 4.211 4.211 4.211
Ir 6.316 6.316 6.316


No. 3
! PBEsol TePIr2, optimized geometry; values from VASP
! Calculated total energy, eV per formula unit: -28.14
! Volume, Å³/atom: 15.908
! Crystal system: tetragonal
! Raw formation energy, eV per atom: 0.2054
! ΔE to the lowest computed polymorph, meV/atom: 310
! Space-group type: No. 123
! Magnetic moment, μB per formula unit: 0.0
&SYSTEM
  ibrav = 0, nat = 4, ntyp = 3
/
ATOMIC_SPECIES
Te 127.60 Te.upf
P 30.97 P.upf
Ir 192.22 Ir.upf
CELL_PARAMETERS angstrom
2.957 0.000 0.000
0.000 2.957 0.000
0.000 0.000 7.278
ATOMIC_POSITIONS angstrom
Te 0.000 0.000 0.000
P 0.000 0.000 3.639
Ir 1.478 1.478 2.250
Ir 1.478 1.478 5.028


No. 4
! PBEsol Te2P2Ir, optimized geometry; values from VASP
! Calculated total energy, eV per formula unit: -26.85
! Volume, Å³/atom: 19.909
! Crystal system: tetragonal
! Raw formation energy, eV per atom: 0.3216
! Space-group type: No. 139
! Magnetic moment, μB per formula unit: 0.0
&SYSTEM
  ibrav = 0, nat = 10, ntyp = 3
/
ATOMIC_SPECIES
Te 127.60 Te.upf
P 30.97 P.upf
Ir 192.22 Ir.upf
CELL_PARAMETERS angstrom
3.299 0.000 0.000
0.000 3.299 0.000
0.000 0.000 18.294
ATOMIC_POSITIONS angstrom
Te 0.000 0.000 1.604
Te 0.000 0.000 16.691
Te 1.649 1.649 7.543
Te 1.649 1.649 10.751
P 0.000 1.649 4.574
P 0.000 1.649 13.721
P 1.649 0.000 4.574
P 1.649 0.000 13.721
Ir 0.000 0.000 9.147
Ir 1.649 1.649 0.000


No. 5
! PBEsol TePIr, optimized geometry; values from VASP
! Calculated total energy, eV per formula unit: -17.24
! Volume, Å³/atom: 18.521
! Crystal system: cubic
! Raw formation energy, eV per atom: 0.6321
! Space-group type: No. 216
! Magnetic moment, μB per formula unit: 0.0
&SYSTEM
  ibrav = 0, nat = 12, ntyp = 3
/
ATOMIC_SPECIES
Te 127.60 Te.upf
P 30.97 P.upf
Ir 192.22 Ir.upf
CELL_PARAMETERS angstrom
6.057 0.000 0.000
0.000 6.057 0.000
0.000 0.000 6.057
ATOMIC_POSITIONS angstrom
Te 0.000 0.000 0.000
Te 0.000 3.029 3.029
Te 3.029 0.000 3.029
Te 3.029 3.029 0.000
P 1.514 1.514 1.514
P 1.514 4.543 4.543
P 4.543 1.514 4.543
P 4.543 4.543 1.514
Ir 0.000 0.000 3.029
Ir 0.000 3.029 0.000
Ir 3.029 0.000 0.000
Ir 3.029 3.029 3.029


No. 6
! PBEsol TePIr2, optimized geometry; values from VASP
! Calculated total energy, eV per formula unit: -29.38
! Volume, Å³/atom: 17.219
! Crystal system: trigonal
! Raw formation energy, eV per atom: -0.1047
! ΔE to the lowest computed polymorph, meV/atom: 0
! Space-group type: No. 166
! Magnetic moment, μB per formula unit: 0.0
&SYSTEM
  ibrav = 0, nat = 12, ntyp = 3
/
ATOMIC_SPECIES
Te 127.60 Te.upf
P 30.97 P.upf
Ir 192.22 Ir.upf
CELL_PARAMETERS angstrom
3.749 0.000 0.000
-1.874 3.246 0.000
0.000 0.000 16.979
ATOMIC_POSITIONS angstrom
Te 0.000 0.000 0.000
Te 0.000 2.164 11.319
Te 1.874 1.082 5.660
P 0.000 0.000 8.489
P 0.000 2.164 2.830
P 1.874 1.082 14.149
Ir 0.000 0.000 3.740
Ir 0.000 0.000 13.239
Ir 0.000 2.164 7.579
Ir 0.000 2.164 15.059
Ir 1.874 1.082 1.919
Ir 1.874 1.082 9.400


No. 7
! PBEsol TlP2Ir, optimized geometry; values from VASP
! Calculated total energy, eV per formula unit: -23.01
! Volume, Å³/atom: 17.805
! Crystal system: orthorhombic
! ΔE to the lowest computed polymorph, meV/atom: 0
! Space-group type: No. 25
! Magnetic moment, μB per formula unit: 0.0
&SYSTEM
  ibrav = 0, nat = 4, ntyp = 3
/
ATOMIC_SPECIES
Tl 204.38 Tl.upf
P 30.97 P.upf
Ir 192.22 Ir.upf
CELL_PARAMETERS angstrom
2.906 0.000 0.000
0.000 3.282 0.000
0.000 0.000 7.468
ATOMIC_POSITIONS angstrom
Tl 0.000 0.000 0.000
P 0.000 0.000 3.435
P 1.453 1.641 4.782
Ir 1.453 1.641 2.342


No. 8
! PBEsol Tl2PIr, optimized geometry; values from VASP
! Calculated total energy, eV per formula unit: -18.20
! Volume, Å³/atom: 18.972
! Crystal system: orthorhombic
! ΔE to the lowest computed polymorph, meV/atom: 645
! Space-group type: No. 47
! Magnetic moment, μB per formula unit: 0.0
&SYSTEM
  ibrav = 0, nat = 4, ntyp = 3
/
ATOMIC_SPECIES
Tl 204.38 Tl.upf
P 30.97 P.upf
Ir 192.22 Ir.upf
CELL_PARAMETERS angstrom
3.179 0.000 0.000
0.000 3.904 0.000
0.000 0.000 6.115
ATOMIC_POSITIONS angstrom
Tl 0.000 0.000 1.485
Tl 0.000 0.000 4.630
P 1.589 1.952 3.058
Ir 1.589 1.952 0.000


Q: Which of these has the highest volume?
A: Te4PIr